[1]
The following is a DFT calculation (GGA-PBE) of crystalline Ce2HgC at its relaxed geometry.

Summary:
Density ... 8419 kg/m³
Total magnetization ... 0.58 μB per formula unit
Uncorrected energy ... -43.8 eV per cell

a b c (Å): 5.034 6.870 6.870
angles (deg): 65.34 68.51 68.51
Fractional positions:
Ce  0.446  0.844  0.264
Ce  0.554  0.236  0.656
Ce  0.854  0.592  0.700
Ce  0.146  0.800  0.908
Hg  0.838  0.181  0.143
Hg  0.162  0.357  0.319
C  0.372  0.623  0.633
C  0.628  0.867  0.877

---

[2]
The following is a DFT calculation (GGA-PBE) of crystalline Ce7Hg2C at its relaxed geometry.

Summary:
Density ... 8560 kg/m³
Total magnetization ... 7.67 μB per formula unit
Uncorrected energy ... -51.8 eV per cell

a b c (Å): 7.259 7.259 7.259
angles (deg): 60.00 60.00 60.00
Fractional positions:
Ce  0.500  0.500  0.500
Ce  0.237  0.763  0.763
Ce  0.237  0.763  0.237
Ce  0.763  0.237  0.763
Ce  0.763  0.763  0.237
Ce  0.237  0.237  0.763
Ce  0.763  0.237  0.237
Hg  0.250  0.250  0.250
Hg  0.750  0.750  0.750
C  0.000  0.000  0.000

---

[3]
The following is a DFT calculation (GGA-PBE) of crystalline Ce2HgC2 at its relaxed geometry.

Summary:
Density ... 8117 kg/m³
Total magnetization ... 1.13 μB per formula unit
Uncorrected energy ... -64.1 eV per cell

a b c (Å): 4.059 6.662 8.159
angles (deg): 104.39 104.40 90.00
Fractional positions:
Ce  0.509  0.869  0.686
Ce  0.176  0.369  0.686
Ce  0.491  0.131  0.314
Ce  0.824  0.631  0.314
Hg  0.905  0.250  0.000
Hg  0.095  0.750  0.000
C  0.349  0.523  0.449
C  0.900  0.977  0.551
C  0.651  0.477  0.551
C  0.100  0.023  0.449

---

[4]
The following is a DFT calculation (GGA-PBE) of crystalline Ce8Hg2C3 at its relaxed geometry.

Summary:
Density ... 7863 kg/m³
Total magnetization ... 2.26 μB per formula unit
Uncorrected energy ... -77.2 eV per cell

a b c (Å): 6.213 6.931 8.558
angles (deg): 113.89 101.37 90.00
Fractional positions:
Ce  0.959  0.607  0.213
Ce  0.041  0.393  0.787
Ce  0.889  0.098  0.196
Ce  0.111  0.902  0.804
Ce  0.619  0.656  0.833
Ce  0.619  0.177  0.833
Ce  0.381  0.823  0.167
Ce  0.381  0.344  0.167
Hg  0.352  0.249  0.498
Hg  0.648  0.751  0.502
C  0.500  0.000  0.000
C  0.000  0.247  0.000
C  0.000  0.753  0.000

---

[5]
The following is a DFT calculation (GGA-PBE) of crystalline Ce2HgC at its relaxed geometry.

Summary:
Density ... 10265 kg/m³
Total magnetization ... 0.00 μB per formula unit
Uncorrected energy ... -21.9 eV per cell

a b c (Å): 3.158 3.158 7.994
angles (deg): 90.00 90.00 90.00
Fractional positions:
C  0.500  0.500  0.000
Hg  0.500  0.500  0.500
Ce  0.000  0.000  0.824
Ce  0.000  0.000  0.176

---

[6]
The following is a DFT calculation (GGA-PBE) of crystalline CeHgC at its relaxed geometry.

Summary:
Distance to the lowest polymorph of the same formula ... 0 meV per atom
Density ... 8869 kg/m³
Total magnetization ... 0.31 μB per formula unit
Uncorrected energy ... -32.5 eV per cell

a b c (Å): 3.657 4.192 9.683
angles (deg): 97.62 89.96 115.91
Fractional positions:
Ce  0.849  0.787  0.532
Ce  0.074  0.237  0.246
Hg  0.332  0.752  0.991
Hg  0.591  0.272  0.787
C  0.374  0.837  0.354
C  0.549  0.187  0.424

---

[7]
The following is a DFT calculation (GGA-PBE) of crystalline Ce5Hg2C at its relaxed geometry.

Summary:
Density ... 7451 kg/m³
Total magnetization ... 4.73 μB per formula unit
Uncorrected energy ... -77.1 eV per cell

a b c (Å): 5.189 8.640 11.607
angles (deg): 90.00 90.00 107.48
Fractional positions:
Ce  0.923  0.846  0.869
Ce  0.923  0.846  0.631
Ce  0.290  0.579  0.416
Ce  0.290  0.579  0.084
Ce  0.693  0.386  0.250
Ce  0.307  0.614  0.750
Ce  0.710  0.421  0.584
Ce  0.710  0.421  0.916
Ce  0.077  0.154  0.131
Ce  0.077  0.154  0.369
Hg  0.883  0.767  0.371
Hg  0.883  0.767  0.129
Hg  0.117  0.233  0.629
Hg  0.117  0.233  0.871
C  0.803  0.607  0.750
C  0.197  0.393  0.250

---

[8]
The following is a DFT calculation (GGA-PBE) of crystalline Ce2HgC at its relaxed geometry.

Summary:
Density ... 8892 kg/m³
Total magnetization ... 1.15 μB per formula unit
Uncorrected energy ... -22.4 eV per cell

a b c (Å): 3.559 3.558 8.642
angles (deg): 101.86 90.00 120.01
Fractional positions:
Ce  0.277  0.053  0.330
Ce  0.723  0.947  0.670
Hg  0.500  0.500  0.000
C  0.000  0.500  0.500

---

Results for DOS at the Fermi energy: 1.9094 3.2415 1.6386 2.2396 1.5586 1.3082 2.9807 1.9853 (in states/eV per atom, following the order of the records).